Computed, not measured: a relaxed structure of InHgSb at the PBE level of DFT.

```
InHgSb
1.0
5.646 -0.095 0.013
2.229 5.188 -0.013
-3.153 -3.760 2.795
Hg In Sb
1 1 1
Direct
0.999 0.999 0.000
0.674 0.674 0.000
0.328 0.328 0.000
```

Theoretical density = 8.8 g cm⁻³
Energy relative to the lowest polymorph listed for this composition = 0.032 eV/atom
Fermi-level density of states = 1.5 states/eV/cell

=====

Computed, not measured: a relaxed structure of InHg2Sb2 at the PBE level of DFT.

```
InHg2Sb2
1.0
9.074 0.000 0.000
0.000 9.074 0.000
0.000 0.000 3.385
Sb Hg In
4 4 2
Direct
0.150 0.650 0.500
0.650 0.850 0.500
0.850 0.350 0.500
0.350 0.150 0.500
0.351 0.851 0.000
0.851 0.649 0.000
0.649 0.149 0.000
0.149 0.351 0.000
0.000 0.000 0.000
0.500 0.500 0.000
```

Theoretical density = 9.0 g cm⁻³
Energy relative to the lowest polymorph listed for this composition = 0.041 eV/atom
Fermi-level density of states = 5.6 states/eV/cell

=====

Computed, not measured: a relaxed structure of In3Hg5Sb12 at the PBE level of DFT.

```
In3Hg5Sb12
1.0
17.104 0.000 0.000
-5.701 16.126 0.000
-5.701 -8.063 13.965
In Hg Sb
12 20 48
Direct
0.750 0.375 0.125
0.875 0.750 0.125
0.375 0.750 0.625
0.250 0.125 0.375
0.875 0.125 0.250
0.375 0.625 0.250
0.625 0.375 0.750
0.125 0.875 0.750
0.750 0.875 0.625
0.625 0.250 0.375
0.125 0.250 0.875
0.250 0.625 0.875
0.125 0.375 0.250
0.000 0.500 0.000
0.000 0.000 0.000
0.375 0.250 0.125
0.500 0.000 0.500
0.500 0.500 0.000
0.125 0.750 0.375
0.750 0.125 0.875
0.750 0.625 0.375
0.375 0.125 0.750
0.625 0.875 0.250
0.500 0.500 0.500
0.500 0.000 0.000
0.000 0.000 0.500
0.250 0.375 0.625
0.250 0.875 0.125
0.000 0.500 0.500
0.875 0.250 0.625
0.625 0.750 0.875
0.875 0.625 0.750
0.727 0.166 0.103
0.376 0.603 0.437
0.897 0.334 0.273
0.603 0.227 0.166
0.562 0.727 0.624
0.897 0.563 0.124
0.376 0.773 0.438
0.063 0.938 0.166
0.563 0.897 0.624
0.727 0.562 0.124
0.773 0.397 0.334
0.876 0.937 0.103
0.166 0.727 0.603
0.334 0.437 0.062
0.062 0.937 0.334
0.438 0.166 0.563
0.062 0.124 0.227
0.397 0.624 0.063
0.876 0.938 0.273
0.166 0.438 0.063
0.334 0.897 0.773
0.563 0.666 0.438
0.937 0.876 0.603
0.773 0.376 0.938
0.437 0.334 0.562
0.063 0.124 0.397
0.227 0.624 0.062
0.124 0.062 0.727
0.666 0.103 0.227
0.834 0.562 0.937
0.603 0.376 0.937
0.562 0.834 0.437
0.938 0.876 0.773
0.938 0.063 0.666
0.834 0.273 0.397
0.124 0.063 0.897
0.666 0.563 0.938
0.437 0.103 0.376
0.273 0.438 0.876
0.227 0.603 0.666
0.937 0.062 0.834
0.624 0.227 0.562
0.397 0.773 0.834
0.103 0.437 0.876
0.438 0.273 0.376
0.103 0.666 0.727
0.624 0.397 0.563
0.273 0.834 0.897
```

Theoretical density = 4.8 g cm⁻³
Fermi-level density of states = 37.9 states/eV/cell
Total energy = -0.103 hartree per atom

=====

Computed, not measured: a relaxed structure of In8Hg6Sb at the PBE level of DFT.

```
In8Hg6Sb
1.0
7.337 -0.042 3.834
2.304 6.966 3.834
-0.059 -0.042 8.278
In Hg Sb
8 6 1
Direct
0.187 0.657 0.842
0.158 0.813 0.343
0.343 0.158 0.813
0.624 0.624 0.624
0.376 0.376 0.376
0.657 0.842 0.187
0.842 0.187 0.657
0.813 0.343 0.158
0.986 0.521 0.722
0.278 0.014 0.479
0.479 0.278 0.014
0.521 0.722 0.986
0.722 0.986 0.521
0.014 0.479 0.278
0.000 0.000 0.000
```

Theoretical density = 8.7 g cm⁻³
Fermi-level density of states = 5.3 states/eV/cell
Total energy = -0.067 hartree per atom

=====

Computed, not measured: a relaxed structure of InHg2Sb2 at the PBE level of DFT.

```
InHg2Sb2
1.0
8.965 0.000 0.000
0.000 8.965 0.000
0.000 0.000 3.460
Sb Hg In
4 4 2
Direct
0.316 0.816 0.000
0.816 0.684 0.000
0.684 0.184 0.000
0.184 0.316 0.000
0.120 0.620 0.500
0.620 0.880 0.500
0.880 0.380 0.500
0.380 0.120 0.500
0.000 0.000 0.000
0.500 0.500 0.000
```

Theoretical density = 9.1 g cm⁻³
Energy relative to the lowest polymorph listed for this composition = 0.028 eV/atom
Fermi-level density of states = 5.1 states/eV/cell

=====

Computed, not measured: a relaxed structure of In6Hg2Sb at the PBE level of DFT.

```
In6Hg2Sb
1.0
4.193 0.000 0.000
0.000 7.100 -3.245
0.000 -0.353 8.617
In Hg Sb
6 2 1
Direct
0.500 0.579 0.000
0.500 0.407 0.410
0.500 0.998 0.590
0.000 0.256 0.000
0.000 0.743 0.705
0.000 0.038 0.295
0.000 0.348 0.686
0.000 0.661 0.314
0.500 0.970 0.000
```

Theoretical density = 8.0 g cm⁻³
Fermi-level density of states = 2.3 states/eV/cell
Total energy = -0.086 hartree per atom

=====

Computed, not measured: a relaxed structure of In6HgSb at the PBE level of DFT.

```
In6HgSb
1.0
5.071 0.000 0.000
0.000 5.071 0.000
0.000 0.000 8.507
In Hg Sb
6 1 1
Direct
0.500 0.500 0.000
0.500 0.500 0.500
0.500 0.000 0.250
0.500 0.000 0.750
0.000 0.500 0.250
0.000 0.500 0.750
0.000 0.000 0.000
0.000 0.000 0.500
```

Theoretical density = 7.7 g cm⁻³
Fermi-level density of states = 2.7 states/eV/cell
Total energy = -0.095 hartree per atom

=====

Computed, not measured: a relaxed structure of In5Hg8Sb at the PBE level of DFT.

```
In5Hg8Sb
1.0
7.469 0.000 -2.669
-3.679 6.516 -2.631
-0.112 0.000 7.931
In Hg Sb
5 8 1
Direct
0.981 0.361 0.119
0.881 0.862 0.243
0.757 0.639 0.620
0.500 0.000 0.500
0.380 0.138 0.019
0.121 0.743 0.026
0.974 0.095 0.717
0.783 0.250 0.386
0.614 0.397 0.864
0.467 0.603 0.217
0.622 0.905 0.879
0.283 0.257 0.378
0.136 0.750 0.533
0.250 0.500 0.750
```

Theoretical density = 9.9 g cm⁻³
Fermi-level density of states = 3.9 states/eV/cell
Total energy = -0.052 hartree per atom

=====

Computed, not measured: a relaxed structure of InHgSb at the PBE level of DFT.

```
InHgSb
1.0
-1.287 3.596 -1.460
1.060 -2.994 -2.583
-11.541 -4.117 0.030
In Hg Sb
2 2 2
Direct
0.906 0.813 0.663
0.574 0.148 0.489
0.241 0.483 0.328
0.574 0.148 0.823
0.909 0.818 0.144
0.243 0.485 0.001
```

Theoretical density = 8.2 g cm⁻³
Energy relative to the lowest polymorph listed for this composition = 0.000 eV/atom
Fermi-level density of states = 1.6 states/eV/cell

=====

Computed, not measured: a relaxed structure of In6Hg12Sb at the PBE level of DFT.

```
In6Hg12Sb
1.0
-1.436 -7.977 1.101
7.239 -2.394 -2.962
3.638 -0.327 7.319
In Hg Sb
6 12 1
Direct
0.243 0.145 0.695
0.855 0.305 0.757
0.305 0.757 0.855
0.757 0.855 0.305
0.145 0.695 0.243
0.695 0.243 0.145
0.600 0.168 0.518
0.168 0.518 0.600
0.518 0.600 0.168
0.400 0.832 0.482
0.832 0.482 0.400
0.482 0.400 0.832
0.944 0.852 0.623
0.377 0.056 0.148
0.148 0.377 0.056
0.056 0.148 0.377
0.623 0.944 0.852
0.852 0.623 0.944
0.000 0.000 0.000
```

Theoretical density = 9.9 g cm⁻³
Fermi-level density of states = 6.9 states/eV/cell
Total energy = -0.045 hartree per atom

=====

Computed, not measured: a relaxed structure of InHg2Sb2 at the PBE level of DFT.

```
InHg2Sb2
1.0
-3.123 -1.512 -2.299
2.281 -3.367 -0.884
-3.567 -6.372 5.269
Sb Hg In
2 2 1
Direct
0.415 0.415 0.169
0.585 0.585 0.831
0.750 0.250 0.500
0.250 0.750 0.500
0.000 0.000 0.000
```

Theoretical density = 8.6 g cm⁻³
Energy relative to the lowest polymorph listed for this composition = 0.000 eV/atom
Fermi-level density of states = 2.0 states/eV/cell

=====

Computed, not measured: a relaxed structure of In6Hg10Sb at the PBE level of DFT.

```
In6Hg10Sb
1.0
6.181 0.000 0.000
0.000 8.064 -4.656
0.000 0.000 9.311
In Hg Sb
6 10 1
Direct
0.720 0.380 0.380
0.720 0.000 0.620
0.720 0.620 0.000
0.280 0.620 0.620
0.280 0.000 0.380
0.280 0.380 0.000
0.797 0.732 0.732
0.797 0.000 0.268
0.797 0.268 0.000
0.203 0.268 0.268
0.203 0.000 0.732
0.203 0.732 0.000
0.500 0.333 0.667
0.500 0.667 0.333
0.000 0.667 0.333
0.000 0.333 0.667
0.500 0.000 0.000
```

Theoretical density = 10.1 g cm⁻³
Fermi-level density of states = 7.5 states/eV/cell
Total energy = -0.050 hartree per atom